AcSm2Ga | PBE | optimized geometry

Lattice parameters (Å, degrees): 4.951 4.951 4.965 90.00 90.00 90.00
Fractional coordinates of all 4 atoms:
1 Ac 0.000 0.000 0.000
2 Sm 0.000 0.500 0.500
3 Sm 0.500 0.000 0.500
4 Ga 0.500 0.500 0.000

## Properties
The space group is P4/mmm (123). Its formation energy is -15 kJ per mole of atoms.

Rb2TlIF2 | PBE | optimized geometry

Lattice parameters (Å, degrees): 5.096 5.096 7.723 90.00 90.00 90.00
Fractional coordinates of all 6 atoms:
1 Rb 0.000 0.000 0.229
2 Rb 0.000 0.000 0.771
3 Tl 0.500 0.500 0.000
4 I 0.500 0.500 0.500
5 F 0.000 0.500 0.000
6 F 0.500 0.000 0.000

## Properties
The space group is P4/mmm (123). As for the formation energy from raw total energies: -1.900 eV/atom.

BaTiAu3 | PBE | optimized geometry

Lattice parameters (Å, degrees): 5.861 5.861 5.861 90.00 90.00 90.00
Fractional coordinates of all 5 atoms:
1 Ba 0.000 0.000 0.000
2 Ti 0.500 0.500 0.500
3 Au 0.000 0.000 0.500
4 Au 0.000 0.500 0.000
5 Au 0.500 0.000 0.000

## Properties
The space group is Pm-3m (221). Its formation energy is 110 kJ per mole of atoms.

Copy entry 2 word for word.
Rb2TlIF2 | PBE | optimized geometry

Lattice parameters (Å, degrees): 5.096 5.096 7.723 90.00 90.00 90.00
Fractional coordinates of all 6 atoms:
1 Rb 0.000 0.000 0.229
2 Rb 0.000 0.000 0.771
3 Tl 0.500 0.500 0.000
4 I 0.500 0.500 0.500
5 F 0.000 0.500 0.000
6 F 0.500 0.000 0.000

## Properties
The space group is P4/mmm (123). As for the formation energy from raw total energies: -1.900 eV/atom.